--- 1 ---
# CuHgPCl2

Crystalline CuHgPCl2 at its relaxed geometry (PBE-GGA, Alexandria).

Unit cell a=5.393 b=5.393 c=4.988 alpha=90.00 beta=90.00 gamma=90.00
Element x y z (fractional)
Cl: 0.000 0.500 0.000
Cl: 0.500 0.000 0.000
Cu: 0.500 0.500 0.500
Hg: 0.000 0.000 0.000
P: 0.000 0.000 0.500

For the density of states at the Fermi level, the calculation gives 1.6 states/eV/cell. Its crystal system is tetragonal. Its space group is P4/mmm, No. 123.

---

--- 2 ---
# CuHgPCl2

Crystalline CuHgPCl2 at its relaxed geometry (PBE-GGA, Alexandria).

Unit cell a=4.504 b=4.504 c=5.316 alpha=90.00 beta=90.00 gamma=90.00
Element x y z (fractional)
Cl: 0.000 0.500 0.000
Cl: 0.500 0.000 0.000
P: 0.000 0.000 0.500
Hg: 0.500 0.500 0.500
Cu: 0.000 0.000 0.000

For the density of states at the Fermi level, the calculation gives 4.8 states/eV/cell. Its crystal system is tetragonal. Its space group is P4/mmm, No. 123.

---

Result of the stability comparison: 2 is the most stable of them.

---

--- 1 ---
# CuHgSCl2

Crystalline CuHgSCl2 at its relaxed geometry (PBE-GGA, Alexandria).

Unit cell a=4.528 b=4.528 c=5.197 alpha=90.00 beta=90.00 gamma=90.00
Element x y z (fractional)
Cu: 0.000 0.000 0.000
S: 0.000 0.000 0.500
Cl: 0.500 0.000 0.000
Cl: 0.000 0.500 0.000
Hg: 0.500 0.500 0.500

For the density of states at the Fermi level, the calculation gives 3.2 states/eV/cell. Its crystal system is tetragonal. Its space group is P4/mmm, No. 123.

---

--- 2 ---
# CuHgSCl2

Crystalline CuHgSCl2 at its relaxed geometry (PBE-GGA, Alexandria).

Unit cell a=5.243 b=5.243 c=5.003 alpha=90.00 beta=90.00 gamma=90.00
Element x y z (fractional)
Cu: 0.500 0.500 0.500
Cl: 0.500 0.000 0.000
Cl: 0.000 0.500 0.000
S: 0.000 0.000 0.500
Hg: 0.000 0.000 0.000

For the density of states at the Fermi level, the calculation gives 4.9 states/eV/cell. Its crystal system is tetragonal. Its space group is P4/mmm, No. 123.

---

Result of the stability comparison: 1 is the most stable of them.

---

--- 1 ---
# CuHgSeCl

Crystalline CuHgSeCl at its relaxed geometry (PBE-GGA, Alexandria).

Unit cell a=4.241 b=7.390 c=12.977 alpha=90.00 beta=90.00 gamma=90.00
Element x y z (fractional)
Se: 0.000 0.841 0.387
Se: 0.000 0.341 0.113
Se: 0.000 0.159 0.613
Se: 0.000 0.659 0.887
Cu: 0.500 0.189 0.531
Cu: 0.500 0.689 0.969
Cu: 0.500 0.311 0.031
Cu: 0.500 0.811 0.469
Hg: 0.000 0.096 0.253
Hg: 0.000 0.596 0.247
Hg: 0.000 0.904 0.747
Hg: 0.000 0.404 0.753
Cl: 0.500 0.182 0.875
Cl: 0.500 0.818 0.125
Cl: 0.500 0.682 0.625
Cl: 0.500 0.318 0.375

For the density of states at the Fermi level, the calculation gives 0.0 states/eV/cell. Its crystal system is orthorhombic. Its space group is Pbam, No. 55.

---

--- 2 ---
# CuHgSeCl

Crystalline CuHgSeCl at its relaxed geometry (PBE-GGA, Alexandria).

Unit cell a=4.095 b=4.096 c=8.144 alpha=75.89 beta=75.44 gamma=60.01
Element x y z (fractional)
Hg: 0.741 0.952 0.567
Cl: 0.470 0.676 0.385
Se: 0.627 0.848 0.898
Cu: 0.292 0.513 0.904

For the density of states at the Fermi level, the calculation gives 1.1 states/eV/cell. Its crystal system is monoclinic. Its space group is Cm, No. 8.

---

Result of the stability comparison: 1 is the most stable of them.

---

--- 1 ---
# Ho2CuCl

Crystalline Ho2CuCl at its relaxed geometry (PBE-GGA, Alexandria).

Unit cell a=3.943 b=3.943 c=7.286 alpha=74.30 beta=74.30 gamma=60.00
Element x y z (fractional)
Cu: 0.000 0.000 0.000
Cl: 0.500 0.500 0.500
Ho: 0.741 0.741 0.776
Ho: 0.259 0.259 0.224

For the density of states at the Fermi level, the calculation gives 2.5 states/eV/cell. Its crystal system is trigonal. Its space group is R-3m, No. 166.

---

--- 2 ---
# Ho2CuCl

Crystalline Ho2CuCl at its relaxed geometry (PBE-GGA, Alexandria).

Unit cell a=3.857 b=3.857 c=7.748 alpha=75.59 beta=75.59 gamma=60.00
Element x y z (fractional)
Cl: 0.498 0.498 0.506
Cu: 0.668 0.668 0.997
Ho: 0.262 0.262 0.213
Ho: 0.072 0.072 0.784

For the density of states at the Fermi level, the calculation gives 3.1 states/eV/cell. Its crystal system is trigonal. Its space group is R3m, No. 160.

---

Result of the stability comparison: 1 is the most stable of them.

---

--- 1 ---
# CuI2Cl

Crystalline CuI2Cl at its relaxed geometry (PBE-GGA, Alexandria).

Unit cell a=7.563 b=7.563 c=6.983 alpha=57.22 beta=57.22 gamma=90.00
Element x y z (fractional)
I: 0.375 0.298 0.750
I: 0.702 0.125 0.250
I: 0.875 0.952 0.750
I: 0.048 0.625 0.250
Cl: 0.500 0.500 0.000
Cl: 0.250 0.750 0.500
Cu: 0.000 0.000 0.000
Cu: 0.750 0.250 0.500

For the density of states at the Fermi level, the calculation gives 12.7 states/eV/cell. Its crystal system is tetragonal. Its space group is I-42d, No. 122.

---

--- 2 ---
# CuI2Cl

Crystalline CuI2Cl at its relaxed geometry (PBE-GGA, Alexandria).

Unit cell a=4.072 b=5.350 c=12.435 alpha=90.00 beta=90.00 gamma=74.04
Element x y z (fractional)
Cu: 0.001 0.618 0.250
Cu: 0.999 0.382 0.750
Cl: 0.431 0.864 0.250
Cl: 0.569 0.136 0.750
I: 0.861 0.676 0.916
I: 0.139 0.324 0.084
I: 0.139 0.324 0.416
I: 0.861 0.676 0.584

Its crystal system is monoclinic. Its space group is P2_1/m, No. 11.

---

Result of the stability comparison: 2 is the most stable of them.

---

--- 1 ---
# Cu3I3Cl

Crystalline Cu3I3Cl at its relaxed geometry (PBE-GGA, Alexandria).

Unit cell a=4.069 b=11.187 c=11.187 alpha=120.00 beta=90.00 gamma=90.00
Element x y z (fractional)
I: 0.250 0.345 0.312
I: 0.250 0.688 0.033
I: 0.750 0.312 0.967
I: 0.750 0.655 0.688
I: 0.250 0.967 0.655
I: 0.750 0.033 0.345
Cl: 0.750 0.667 0.333
Cl: 0.250 0.333 0.667
Cu: 0.750 0.513 0.419
Cu: 0.750 0.581 0.094
Cu: 0.750 0.906 0.487
Cu: 0.250 0.419 0.906
Cu: 0.250 0.094 0.513
Cu: 0.250 0.487 0.581

For the density of states at the Fermi level, the calculation gives 14.1 states/eV/cell. Its crystal system is hexagonal. Its space group is P6_3/m, No. 176.

---

--- 2 ---
# Cu3I3Cl

Crystalline Cu3I3Cl at its relaxed geometry (PBE-GGA, Alexandria).

Unit cell a=7.635 b=8.211 c=8.211 alpha=120.01 beta=90.00 gamma=90.00
Element x y z (fractional)
Cl: 0.250 0.667 0.333
Cl: 0.750 0.333 0.667
Cu: 0.250 0.827 0.173
Cu: 0.750 0.173 0.346
Cu: 0.750 0.173 0.827
Cu: 0.750 0.654 0.827
Cu: 0.250 0.827 0.654
Cu: 0.250 0.346 0.173
I: 0.250 0.643 0.821
I: 0.750 0.822 0.643
I: 0.750 0.821 0.178
I: 0.250 0.179 0.822
I: 0.750 0.357 0.179
I: 0.250 0.178 0.357

For the density of states at the Fermi level, the calculation gives 8.9 states/eV/cell. Its crystal system is hexagonal. Its space group is P6_3/mmc, No. 194.

---

Result of the stability comparison: 1 is the most stable of them.

---

--- 1 ---
# CuICl6

Crystalline CuICl6 at its relaxed geometry (PBE-GGA, Alexandria).

Unit cell a=6.566 b=6.582 c=6.869 alpha=61.57 beta=61.48 gamma=59.87
Element x y z (fractional)
Cu: 0.000 0.000 0.000
Cl: 0.367 0.755 0.760
Cl: 0.633 0.245 0.240
Cl: 0.120 0.369 0.758
Cl: 0.880 0.631 0.242
Cl: 0.756 0.118 0.760
Cl: 0.244 0.882 0.240
I: 0.500 0.500 0.500

Its crystal system is triclinic. Its space group is P-1, No. 2.

---

--- 2 ---
# CuICl6

Crystalline CuICl6 at its relaxed geometry (PBE-GGA, Alexandria).

Unit cell a=7.264 b=6.636 c=6.636 alpha=114.40 beta=103.37 gamma=103.37
Element x y z (fractional)
Cl: 0.801 0.202 0.202
Cl: 0.703 0.559 0.843
Cl: 0.297 0.441 0.157
Cl: 0.199 0.798 0.798
Cl: 0.297 0.157 0.441
Cl: 0.703 0.843 0.559
I: 0.000 0.000 0.000
Cu: 0.500 0.500 0.500

For the density of states at the Fermi level, the calculation gives 3.6 states/eV/cell. Its crystal system is monoclinic. Its space group is C2/m, No. 12.

---

Result of the stability comparison: 2 is the most stable of them.

---

--- 1 ---
# Cu4I3Cl

Crystalline Cu4I3Cl at its relaxed geometry (PBE-GGA, Alexandria).

Unit cell a=3.965 b=5.593 c=7.920 alpha=90.00 beta=90.00 gamma=90.00
Element x y z (fractional)
Cu: 0.000 0.000 0.000
Cu: 0.000 0.000 0.500
Cu: 0.500 0.500 0.766
Cu: 0.500 0.500 0.234
I: 0.500 0.000 0.240
I: 0.000 0.500 0.500
I: 0.500 0.000 0.760
Cl: 0.000 0.500 0.000

For the density of states at the Fermi level, the calculation gives 2.3 states/eV/cell. Its crystal system is orthorhombic. Its space group is Pmmm, No. 47.

---

--- 2 ---
# Cu4I3Cl

Crystalline Cu4I3Cl at its relaxed geometry (PBE-GGA, Alexandria).

Unit cell a=6.861 b=7.220 c=8.339 alpha=90.00 beta=90.00 gamma=90.00
Element x y z (fractional)
Cl: 0.002 0.170 0.000
Cl: 0.502 0.830 0.500
I: 0.000 0.668 0.752
I: 0.500 0.332 0.252
I: 0.501 0.843 0.000
I: 0.500 0.332 0.748
I: 0.001 0.157 0.500
I: 0.000 0.668 0.248
Cu: 0.120 0.857 0.000
Cu: 0.119 0.323 0.763
Cu: 0.655 0.176 0.000
Cu: 0.620 0.143 0.500
Cu: 0.155 0.824 0.500
Cu: 0.119 0.323 0.237
Cu: 0.619 0.677 0.263
Cu: 0.619 0.677 0.737

Its crystal system is orthorhombic. Its space group is Pmn2_1, No. 31.

---

Result of the stability comparison: 2 is the most stable of them.

---

--- 1 ---
# CuPICl2

Crystalline CuPICl2 at its relaxed geometry (PBE-GGA, Alexandria).

Unit cell a=4.479 b=4.479 c=5.583 alpha=90.00 beta=90.00 gamma=90.00
Element x y z (fractional)
Cl: 0.000 0.500 0.000
Cl: 0.500 0.000 0.000
I: 0.500 0.500 0.500
P: 0.000 0.000 0.500
Cu: 0.000 0.000 0.000

For the density of states at the Fermi level, the calculation gives 3.5 states/eV/cell. Its crystal system is tetragonal. Its space group is P4/mmm, No. 123.

---

--- 2 ---
# CuPICl2

Crystalline CuPICl2 at its relaxed geometry (PBE-GGA, Alexandria).

Unit cell a=5.442 b=5.442 c=5.412 alpha=90.00 beta=90.00 gamma=90.00
Element x y z (fractional)
Cl: 0.000 0.500 0.000
Cl: 0.500 0.000 0.000
P: 0.000 0.000 0.500
Cu: 0.500 0.500 0.500
I: 0.000 0.000 0.000

For the density of states at the Fermi level, the calculation gives 4.4 states/eV/cell. Its crystal system is tetragonal. Its space group is P4/mmm, No. 123.

---

Result of the stability comparison: 1 is the most stable of them.

---

--- 1 ---
# RbCuI2Cl

Crystalline RbCuI2Cl at its relaxed geometry (PBE-GGA, Alexandria).

Unit cell a=5.126 b=9.607 c=5.126 alpha=90.00 beta=90.00 gamma=90.00
Element x y z (fractional)
Rb: 0.000 0.500 0.000
Cu: 0.000 0.000 0.000
Cl: 0.500 0.500 0.500
I: 0.000 0.000 0.500
I: 0.500 0.000 0.000

For the density of states at the Fermi level, the calculation gives 1.7 states/eV/cell. Its crystal system is tetragonal. Its space group is P4/mmm, No. 123.

---

--- 2 ---
# RbCuI2Cl

Crystalline RbCuI2Cl at its relaxed geometry (PBE-GGA, Alexandria).

Unit cell a=5.652 b=5.652 c=4.924 alpha=90.00 beta=90.00 gamma=90.00
Element x y z (fractional)
Cu: 0.000 0.000 0.000
I: 0.000 0.500 0.000
I: 0.500 0.000 0.000
Rb: 0.500 0.500 0.500
Cl: 0.000 0.000 0.500

For the density of states at the Fermi level, the calculation gives 1.8 states/eV/cell. Its crystal system is tetragonal. Its space group is P4/mmm, No. 123.

---

Result of the stability comparison: 2 is the most stable of them.

---

--- 1 ---
# CuSb2ICl

Crystalline CuSb2ICl at its relaxed geometry (PBE-GGA, Alexandria).

Unit cell a=5.096 b=5.096 c=7.098 alpha=90.00 beta=90.00 gamma=90.00
Element x y z (fractional)
Sb: 0.000 0.500 0.000
Sb: 0.500 0.000 0.000
Cu: 0.500 0.500 0.500
I: 0.000 0.000 0.500
Cl: 0.000 0.000 0.000

For the density of states at the Fermi level, the calculation gives 4.9 states/eV/cell. Its crystal system is tetragonal. Its space group is P4/mmm, No. 123.

---

--- 2 ---
# CuSb2ICl

Crystalline CuSb2ICl at its relaxed geometry (PBE-GGA, Alexandria).

Unit cell a=5.143 b=5.143 c=5.345 alpha=90.00 beta=90.00 gamma=90.00
Element x y z (fractional)
Cl: 0.500 0.500 0.500
Sb: 0.000 0.500 0.000
Sb: 0.500 0.000 0.000
I: 0.000 0.000 0.500
Cu: 0.000 0.000 0.000

For the density of states at the Fermi level, the calculation gives 3.0 states/eV/cell. Its crystal system is tetragonal. Its space group is P4/mmm, No. 123.

---

Result of the stability comparison: 2 is the most stable of them.

---

--- 1 ---
# CuTeI2Cl

Crystalline CuTeI2Cl at its relaxed geometry (PBE-GGA, Alexandria).

Unit cell a=5.606 b=5.606 c=5.424 alpha=90.00 beta=90.00 gamma=90.00
Element x y z (fractional)
Cu: 0.500 0.500 0.500
I: 0.000 0.500 0.000
I: 0.500 0.000 0.000
Te: 0.000 0.000 0.500
Cl: 0.000 0.000 0.000

For the density of states at the Fermi level, the calculation gives 3.1 states/eV/cell. Its crystal system is tetragonal. Its space group is P4/mmm, No. 123.

---

--- 2 ---
# CuTeI2Cl

Crystalline CuTeI2Cl at its relaxed geometry (PBE-GGA, Alexandria).

Unit cell a=5.282 b=5.282 c=5.281 alpha=90.00 beta=90.00 gamma=90.00
Element x y z (fractional)
Te: 0.000 0.000 0.500
I: 0.000 0.500 0.000
I: 0.500 0.000 0.000
Cu: 0.000 0.000 0.000
Cl: 0.500 0.500 0.500

For the density of states at the Fermi level, the calculation gives 5.4 states/eV/cell. Its crystal system is tetragonal. Its space group is P4/mmm, No. 123.

---

Result of the stability comparison: 2 is the most stable of them.

---

--- 1 ---
# TlCuICl2

Crystalline TlCuICl2 at its relaxed geometry (PBE-GGA, Alexandria).

Unit cell a=4.359 b=8.316 c=8.522 alpha=90.00 beta=90.00 gamma=105.19
Element x y z (fractional)
Cl: 0.137 0.274 0.508
Cl: 0.137 0.274 0.992
Cl: 0.863 0.726 0.492
Cl: 0.863 0.726 0.008
I: 0.507 0.015 0.250
I: 0.493 0.985 0.750
Tl: 0.294 0.587 0.250
Tl: 0.706 0.413 0.750
Cu: 0.000 0.000 0.500
Cu: 0.000 0.000 0.000

For the density of states at the Fermi level, the calculation gives 7.4 states/eV/cell. Its crystal system is orthorhombic. Its space group is Cmcm, No. 63.

---

--- 2 ---
# TlCuICl2

Crystalline TlCuICl2 at its relaxed geometry (PBE-GGA, Alexandria).

Unit cell a=4.908 b=4.908 c=5.523 alpha=90.00 beta=90.00 gamma=90.00
Element x y z (fractional)
Tl: 0.500 0.500 0.500
Cu: 0.000 0.000 0.000
Cl: 0.500 0.000 0.000
Cl: 0.000 0.500 0.000
I: 0.000 0.000 0.500

For the density of states at the Fermi level, the calculation gives 1.5 states/eV/cell. Its crystal system is tetragonal. Its space group is P4/mmm, No. 123.

---

Result of the stability comparison: 1 is the most stable of them.